DFT (GGA-PBE) results for a geometry-optimized ScAl2Br structure.

Unit cell a=4.895 b=4.895 c=4.895 alpha=60.00 beta=60.00 gamma=60.00
Fractional coordinates of all 4 atoms:
Sc1 0.000 0.000 0.000
Al1 0.250 0.250 0.250
Al2 0.500 0.500 0.500
Br1 0.750 0.750 0.750

Results
formation energy (no corrections): -30 meV per atom
polymorph energy (0 for the lowest one): 313 meV/atom

DFT (GGA-PBE) results for a geometry-optimized ScAlBr2 structure.

Unit cell a=6.481 b=6.481 c=6.481 alpha=143.58 beta=143.58 gamma=52.46
Fractional coordinates of all 4 atoms:
Sc1 0.000 0.000 0.000
Al1 0.250 0.750 0.500
Br1 0.500 0.500 0.000
Br2 0.750 0.250 0.500

Results
formation energy (no corrections): -334 meV per atom
polymorph energy (0 for the lowest one): 457 meV/atom

DFT (GGA-PBE) results for a geometry-optimized ScAl3Br structure.

Unit cell a=5.034 b=5.034 c=5.034 alpha=90.00 beta=90.00 gamma=90.00
Fractional coordinates of all 5 atoms:
Sc1 0.000 0.000 0.000
Al1 0.000 0.500 0.500
Al2 0.500 0.000 0.500
Al3 0.500 0.500 0.000
Br1 0.500 0.500 0.500

Results
formation energy (no corrections): 693 meV per atom
polymorph energy (0 for the lowest one): 0 meV/atom

DFT (GGA-PBE) results for a geometry-optimized ScAlSe2Br structure.

Unit cell a=4.976 b=4.976 c=4.865 alpha=90.00 beta=90.00 gamma=90.00
Fractional coordinates of all 5 atoms:
Sc1 0.000 0.000 0.000
Al1 0.500 0.500 0.500
Se1 0.000 0.500 0.500
Se2 0.500 0.000 0.500
Br1 0.500 0.500 0.000

Results
formation energy (no corrections): -461 meV per atom
polymorph energy (0 for the lowest one): 150 meV/atom

no.,density of states at the Fermi level (states/eV/f.u.)
1,1.50
2,1.67
3,2.99
4,3.76